# 1
Here is Rb2ReIr2 after structural relaxation from the Alexandria database. Energies are from PBE-GGA.

Calculated values
ΔE_f (kJ/mol of atoms): 204.4
VASP energy (eV/atom): -4.303
Magnetic moment (μB/f.u.): 2.52
V (A^3/atom): 24.7

a b c (Å): 9.6611 9.6611 2.6486
angles (deg): 90.00 90.00 90.00
Space group P4/mbm (No. 127)
One atom of each set of equivalent atoms:
Rb  0.1149  0.3851  0.0000 [4 per cell]
Re  0.0000  0.0000  0.0000 [2 per cell]
Ir  0.1873  0.6873  0.5000 [4 per cell]

# 2
Here is RbReIr3 after structural relaxation from the Alexandria database. Energies are from PBE-GGA.

Calculated values
ΔE_f (kJ/mol of atoms): 130.2
VASP energy (eV/atom): -6.651
Magnetic moment (μB/f.u.): 0.00
Energy relative to the lowest polymorph listed for this composition (eV/f.u.): 0.00
V (A^3/atom): 22.9

a b c (Å): 4.8591 4.8591 4.8591
angles (deg): 90.00 90.00 90.00
Space group Pm-3m (No. 221)
One atom of each set of equivalent atoms:
Rb  0.0000  0.0000  0.0000 [1 per cell]
Re  0.5000  0.5000  0.5000 [1 per cell]
Ir  0.0000  0.5000  0.5000 [3 per cell]

# 3
Here is RbRe2Ir after structural relaxation from the Alexandria database. Energies are from PBE-GGA.

Calculated values
ΔE_f (kJ/mol of atoms): 180.0
VASP energy (eV/atom): -6.816
Magnetic moment (μB/f.u.): 0.00
Energy relative to the lowest polymorph listed for this composition (eV/f.u.): 0.00
V (A^3/atom): 21.5

a b c (Å): 7.7434 7.7434 5.7382
angles (deg): 90.00 90.00 90.00
Space group I-42d (No. 122)
One atom of each set of equivalent atoms:
Rb  0.0000  0.0000  0.0000 [4 per cell]
Re  0.1799  0.7500  0.6250 [8 per cell]
Ir  0.0000  0.0000  0.5000 [4 per cell]

# 4
Here is RbRe2Ir after structural relaxation from the Alexandria database. Energies are from PBE-GGA.

Calculated values
ΔE_f (kJ/mol of atoms): 186.6
VASP energy (eV/atom): -6.747
Magnetic moment (μB/f.u.): 0.00
Energy relative to the lowest polymorph listed for this composition (eV/f.u.): 0.28
V (A^3/atom): 17.0

a b c (Å): 6.4833 6.4833 6.4833
angles (deg): 90.00 90.00 90.00
Space group Fm-3m (No. 225)
One atom of each set of equivalent atoms:
Rb  0.0000  0.0000  0.0000 [4 per cell]
Re  0.2500  0.2500  0.2500 [8 per cell]
Ir  0.0000  0.0000  0.5000 [4 per cell]

# 5
Here is Rb2ReIr after structural relaxation from the Alexandria database. Energies are from PBE-GGA.

Calculated values
ΔE_f (kJ/mol of atoms): 132.5
VASP energy (eV/atom): -4.438
Magnetic moment (μB/f.u.): 3.36
Energy relative to the lowest polymorph listed for this composition (eV/f.u.): 0.00
V (A^3/atom): 50.5

a b c (Å): 13.0822 13.0822 4.7199
angles (deg): 90.00 90.00 90.00
Space group I-42d (No. 122)
One atom of each set of equivalent atoms:
Rb  0.0649  0.7500  0.1250 [8 per cell]
Re  0.0000  0.0000  0.0000 [4 per cell]
Ir  0.0000  0.0000  0.5000 [4 per cell]

# 6
Here is Rb2ReIrS after structural relaxation from the Alexandria database. Energies are from PBE-GGA.

Calculated values
VASP energy (eV/atom): -4.231
Magnetic moment (μB/f.u.): 3.33
Raw formation energy (kcal/mol of atoms): 28.7
V (A^3/atom): 41.6

a b c (Å): 6.7259 6.7259 4.5958
angles (deg): 90.00 90.00 90.00
Space group P4/mmm (No. 123)
One atom of each set of equivalent atoms:
Rb  0.0000  0.5000  0.0000 [2 per cell]
Re  0.0000  0.0000  0.0000 [1 per cell]
Ir  0.0000  0.0000  0.5000 [1 per cell]
S  0.5000  0.5000  0.5000 [1 per cell]

# 7
Here is Rb2SrReIr after structural relaxation from the Alexandria database. Energies are from PBE-GGA.

Calculated values
ΔE_f (kJ/mol of atoms): 114.2
VASP energy (eV/atom): -3.802
Magnetic moment (μB/f.u.): 2.56
V (A^3/atom): 40.5

a b c (Å): 6.4922 6.4922 4.8099
angles (deg): 90.00 90.00 90.00
Space group P4/mmm (No. 123)
One atom of each set of equivalent atoms:
Rb  0.0000  0.5000  0.0000 [2 per cell]
Sr  0.0000  0.0000  0.5000 [1 per cell]
Re  0.5000  0.5000  0.5000 [1 per cell]
Ir  0.5000  0.5000  0.0000 [1 per cell]

# 8
Here is RbIrRh2 after structural relaxation from the Alexandria database. Energies are from PBE-GGA.

Calculated values
ΔE_f (kJ/mol of atoms): 88.1
VASP energy (eV/atom): -5.219
Magnetic moment (μB/f.u.): 0.00
Energy relative to the lowest polymorph listed for this composition (eV/f.u.): 0.00
V (A^3/atom): 28.3

a b c (Å): 5.3433 5.3433 15.8859
angles (deg): 90.00 90.00 90.00
Space group I-42d (No. 122)
One atom of each set of equivalent atoms:
Rb  0.0000  0.0000  0.0000 [4 per cell]
Ir  0.0000  0.0000  0.5000 [4 per cell]
Rh  0.0550  0.2500  0.6250 [8 per cell]

# 9
Here is RbIrRh2 after structural relaxation from the Alexandria database. Energies are from PBE-GGA.

Calculated values
ΔE_f (kJ/mol of atoms): 118.2
VASP energy (eV/atom): -4.907
Magnetic moment (μB/f.u.): 3.38
Energy relative to the lowest polymorph listed for this composition (eV/f.u.): 1.25
V (A^3/atom): 18.3

a b c (Å): 6.6429 6.6429 6.6429
angles (deg): 90.00 90.00 90.00
Space group Fm-3m (No. 225)
One atom of each set of equivalent atoms:
Rb  0.0000  0.0000  0.0000 [4 per cell]
Ir  0.0000  0.0000  0.5000 [4 per cell]
Rh  0.2500  0.2500  0.2500 [8 per cell]

# 10
Here is Rb2IrRh after structural relaxation from the Alexandria database. Energies are from PBE-GGA.

Calculated values
ΔE_f (kJ/mol of atoms): 153.6
VASP energy (eV/atom): -2.945
Magnetic moment (μB/f.u.): 1.97
Energy relative to the lowest polymorph listed for this composition (eV/f.u.): 3.12
V (A^3/atom): 28.2

a b c (Å): 7.6698 7.6698 7.6698
angles (deg): 90.00 90.00 90.00
Space group Fm-3m (No. 225)
One atom of each set of equivalent atoms:
Rb  0.2500  0.2500  0.2500 [8 per cell]
Ir  0.0000  0.0000  0.0000 [4 per cell]
Rh  0.0000  0.0000  0.5000 [4 per cell]

# 11
Here is RbIrRh3 after structural relaxation from the Alexandria database. Energies are from PBE-GGA.

Calculated values
ΔE_f (kJ/mol of atoms): 98.5
VASP energy (eV/atom): -5.355
Magnetic moment (μB/f.u.): 0.00
Energy relative to the lowest polymorph listed for this composition (eV/f.u.): 0.00
V (A^3/atom): 22.9

a b c (Å): 4.8585 4.8585 4.8585
angles (deg): 90.00 90.00 90.00
Space group Pm-3m (No. 221)
One atom of each set of equivalent atoms:
Rb  0.0000  0.0000  0.0000 [1 per cell]
Ir  0.5000  0.5000  0.5000 [1 per cell]
Rh  0.0000  0.5000  0.5000 [3 per cell]

# 12
Here is RbIrRh3 after structural relaxation from the Alexandria database. Energies are from PBE-GGA.

Calculated values
ΔE_f (kJ/mol of atoms): 268.4
VASP energy (eV/atom): -3.594
Magnetic moment (μB/f.u.): 3.57
Energy relative to the lowest polymorph listed for this composition (eV/f.u.): 8.80
V (A^3/atom): 21.0

a b c (Å): 4.7142 4.7142 4.7142
angles (deg): 90.00 90.00 90.00
Space group Pm-3m (No. 221)
One atom of each set of equivalent atoms:
Rb  0.0000  0.0000  0.0000 [1 per cell]
Ir  0.5000  0.5000  0.5000 [1 per cell]
Rh  0.0000  0.0000  0.5000 [3 per cell]

# 13
Here is Rb2IrRh after structural relaxation from the Alexandria database. Energies are from PBE-GGA.

Calculated values
ΔE_f (kJ/mol of atoms): 78.5
VASP energy (eV/atom): -3.723
Magnetic moment (μB/f.u.): 0.03
Energy relative to the lowest polymorph listed for this composition (eV/f.u.): 0.00
V (A^3/atom): 48.1

a b c (Å): 12.7877 12.7877 4.7094
angles (deg): 90.00 90.00 90.00
Space group I-42d (No. 122)
One atom of each set of equivalent atoms:
Rb  0.0294  0.2500  0.1250 [8 per cell]
Ir  0.0000  0.0000  0.5000 [4 per cell]
Rh  0.0000  0.0000  0.0000 [4 per cell]

# 14
Here is Rb3IrRh2Se6 after structural relaxation from the Alexandria database. Energies are from PBE-GGA.

Calculated values
VASP energy (eV/atom): -4.606
Magnetic moment (μB/f.u.): 0.00
Raw formation energy (kcal/mol of atoms): -15.2
V (A^3/atom): 24.7

a b c (Å): 6.8241 11.8176 7.6888
angles (deg): 90.00 107.20 90.00
Space group C2/m (No. 12)
One atom of each set of equivalent atoms:
Rb  0.0000  0.0000  0.0000 [2 per cell]
Rb  0.0000  0.3331  0.0000 [4 per cell]
Ir  0.0000  0.5000  0.5000 [2 per cell]
Rh  0.0000  0.1666  0.5000 [4 per cell]
Se  0.2195  0.3336  0.6594 [8 per cell]
Se  0.2204  0.0000  0.6595 [4 per cell]

# 15
Here is Rb2ZrIrRh after structural relaxation from the Alexandria database. Energies are from PBE-GGA.

Calculated values
ΔE_f (kJ/mol of atoms): 140.2
VASP energy (eV/atom): -3.886
Magnetic moment (μB/f.u.): 0.23
V (A^3/atom): 31.6

a b c (Å): 5.5687 5.5687 5.0918
angles (deg): 90.00 90.00 90.00
Space group P4/mmm (No. 123)
One atom of each set of equivalent atoms:
Rb  0.0000  0.5000  0.0000 [2 per cell]
Zr  0.0000  0.0000  0.5000 [1 per cell]
Ir  0.5000  0.5000  0.5000 [1 per cell]
Rh  0.0000  0.0000  0.0000 [1 per cell]

# 16
Here is RbIr2Ru after structural relaxation from the Alexandria database. Energies are from PBE-GGA.

Calculated values
ΔE_f (kJ/mol of atoms): 125.9
VASP energy (eV/atom): -5.687
Magnetic moment (μB/f.u.): 0.92
Energy relative to the lowest polymorph listed for this composition (eV/f.u.): 0.00
V (A^3/atom): 27.0

a b c (Å): 7.6695 7.6695 7.3341
angles (deg): 90.00 90.00 90.00
Space group I-42d (No. 122)
One atom of each set of equivalent atoms:
Rb  0.0000  0.0000  0.0000 [4 per cell]
Ir  0.1338  0.2500  0.6250 [8 per cell]
Ru  0.0000  0.0000  0.5000 [4 per cell]

# 17
Here is RbIr3Ru after structural relaxation from the Alexandria database. Energies are from PBE-GGA.

Calculated values
ΔE_f (kJ/mol of atoms): 347.4
VASP energy (eV/atom): -3.764
Magnetic moment (μB/f.u.): 5.06
Energy relative to the lowest polymorph listed for this composition (eV/f.u.): 10.40
V (A^3/atom): 21.8

a b c (Å): 4.7766 4.7766 4.7766
angles (deg): 90.00 90.00 90.00
Space group Pm-3m (No. 221)
One atom of each set of equivalent atoms:
Rb  0.0000  0.0000  0.0000 [1 per cell]
Ir  0.0000  0.0000  0.5000 [3 per cell]
Ru  0.5000  0.5000  0.5000 [1 per cell]

# 18
Here is RbIr3Ru after structural relaxation from the Alexandria database. Energies are from PBE-GGA.

Calculated values
ΔE_f (kJ/mol of atoms): 146.8
VASP energy (eV/atom): -5.844
Magnetic moment (μB/f.u.): 0.00
Energy relative to the lowest polymorph listed for this composition (eV/f.u.): 0.00
V (A^3/atom): 22.5

a b c (Å): 4.8293 4.8293 4.8293
angles (deg): 90.00 90.00 90.00
Space group Pm-3m (No. 221)
One atom of each set of equivalent atoms:
Rb  0.0000  0.0000  0.0000 [1 per cell]
Ir  0.0000  0.5000  0.5000 [3 per cell]
Ru  0.5000  0.5000  0.5000 [1 per cell]

# 19
Here is RbIr2Ru after structural relaxation from the Alexandria database. Energies are from PBE-GGA.

Calculated values
ΔE_f (kJ/mol of atoms): 158.9
VASP energy (eV/atom): -5.344
Magnetic moment (μB/f.u.): 3.08
Energy relative to the lowest polymorph listed for this composition (eV/f.u.): 1.37
V (A^3/atom): 18.1

a b c (Å): 6.6214 6.6214 6.6214
angles (deg): 90.00 90.00 90.00
Space group Fm-3m (No. 225)
One atom of each set of equivalent atoms:
Rb  0.0000  0.0000  0.0000 [4 per cell]
Ir  0.2500  0.2500  0.2500 [8 per cell]
Ru  0.0000  0.0000  0.5000 [4 per cell]

# 20
Here is RbTaIrRu2 after structural relaxation from the Alexandria database. Energies are from PBE-GGA.

Calculated values
ΔE_f (kJ/mol of atoms): 226.3
VASP energy (eV/atom): -5.701
Magnetic moment (μB/f.u.): 0.00
V (A^3/atom): 23.5

a b c (Å): 4.7438 4.7438 5.2126
angles (deg): 90.00 90.00 90.00
Space group P4/mmm (No. 123)
One atom of each set of equivalent atoms:
Rb  0.0000  0.0000  0.0000 [1 per cell]
Ta  0.5000  0.5000  0.0000 [1 per cell]
Ir  0.0000  0.0000  0.5000 [1 per cell]
Ru  0.0000  0.5000  0.5000 [2 per cell]